{"formula": "TmMg2Pd4", "functional": "PBE-GGA", "state": "optimized geometry", "lattice": [[5.290, 0.263, -1.701], [-2.561, 4.444, -2.153], [0.152, -0.263, 5.554]], "species": ["Pd", "Pd", "Mg", "Pd", "Pd", "Tm", "Mg"], "fractional_positions": [[0.000, 0.500, 0.000], [0.000, 0.000, 0.500], [0.500, 0.000, 0.500], [0.500, 0.000, 0.000], [0.500, 0.500, 0.500], [0.000, 0.000, 0.000], [0.500, 0.500, 0.000]], "e_tot_ev_per_atom": -4.65, "total_magnetization_mub_per_cell": 0.0, "e_form_ev_per_atom": -0.5885}



{"formula": "Er7Tm3", "functional": "PBE-GGA", "state": "optimized geometry", "lattice": [[6.267, 0.000, 0.000], [0.000, 10.674, 0.000], [0.000, -5.337, 9.244]], "species": ["Tm", "Er", "Tm", "Tm", "Er", "Er", "Er", "Er", "Er", "Tm", "Er", "Er", "Er", "Er", "Tm", "Er", "Er", "Tm", "Er", "Er"], "fractional_positions": [[0.366, 0.790, 0.210], [0.880, 0.881, 0.761], [0.866, 0.210, 0.421], [0.366, 0.790, 0.579], [0.506, 0.333, 0.667], [0.721, 0.529, 0.471], [0.880, 0.239, 0.119], [0.221, 0.471, 0.942], [0.380, 0.119, 0.239], [0.366, 0.421, 0.210], [0.221, 0.471, 0.529], [0.380, 0.119, 0.881], [0.221, 0.058, 0.529], [0.721, 0.942, 0.471], [0.866, 0.210, 0.790], [0.721, 0.529, 0.058], [0.006, 0.667, 0.333], [0.866, 0.579, 0.790], [0.380, 0.761, 0.881], [0.880, 0.881, 0.119]], "e_above_lowest_polymorph_mev_per_atom": 183.9, "e_tot_ev_per_atom": -4.33, "total_magnetization_mub_per_cell": 2.0, "e_form_ev_per_atom": 0.2054}



{"formula": "YHoAg4", "functional": "PBE-GGA", "state": "optimized geometry", "lattice": [[-3.660, 0.106, 0.622], [2.531, -2.154, 4.174], [-0.864, 5.468, 5.110]], "species": ["Ag", "Ho", "Ag", "Y", "Ag", "Ag"], "fractional_positions": [[0.169, 0.495, 0.661], [0.001, 0.997, 0.498], [0.834, 0.500, 0.335], [0.501, 0.497, 0.998], [0.338, 0.003, 0.830], [0.664, 0.991, 0.166]], "e_above_lowest_polymorph_mev_per_atom": 0.0, "e_tot_ev_per_atom": -4.06, "total_magnetization_mub_per_cell": 0.0, "e_form_ev_per_atom": -0.3197}



{"formula": "Cs3K9Na2", "functional": "PBE-GGA", "state": "optimized geometry", "lattice": [[-1.784, 6.212, 2.827], [-12.683, 1.015, -1.434], [-3.329, -2.464, 12.116]], "species": ["K", "Cs", "K", "Na", "Na", "K", "K", "Cs", "K", "K", "K", "Cs", "K", "K"], "fractional_positions": [[0.133, 0.585, 0.149], [0.298, 0.702, 0.702], [0.000, 0.500, 0.500], [0.500, 0.658, 0.342], [0.500, 0.342, 0.658], [0.867, 0.851, 0.415], [0.631, 0.003, 0.734], [0.702, 0.298, 0.298], [0.631, 0.734, 0.003], [0.867, 0.415, 0.851], [0.133, 0.149, 0.585], [0.000, 0.000, 0.000], [0.369, 0.997, 0.266], [0.369, 0.266, 0.997]], "e_tot_ev_per_atom": -1.05, "total_magnetization_mub_per_cell": 0.0, "e_form_ev_per_atom": 0.0249}



{"formula": "LiCeAlS4", "functional": "PBE-GGA", "state": "optimized geometry", "lattice": [[7.197, 0.000, 0.000], [3.598, 6.695, -0.129], [3.598, 1.917, 6.416]], "species": ["Al", "Ce", "Li", "S", "S", "Ce", "S", "Al", "S", "S", "Li", "S", "S", "S"], "fractional_positions": [[0.500, 0.000, 0.500], [0.000, 0.500, 0.500], [0.359, 0.391, 0.891], [0.745, 0.800, 0.710], [0.262, 0.237, 0.737], [0.000, 0.000, 0.000], [0.235, 0.763, 0.263], [0.000, 0.000, 0.500], [0.255, 0.790, 0.700], [0.255, 0.200, 0.290], [0.641, 0.609, 0.109], [0.745, 0.210, 0.300], [0.765, 0.237, 0.737], [0.738, 0.763, 0.263]], "e_form_raw_mev_per_atom": -1378, "e_tot_ev_per_atom": -5.39, "total_magnetization_mub_per_cell": 0.0}



{"formula": "ThZr2Sn", "functional": "PBE-GGA", "state": "optimized geometry", "lattice": [[4.405, 0.000, 0.000], [0.000, 4.315, -0.855], [0.000, -0.013, 11.244]], "species": ["Zr", "Sn", "Sn", "Zr", "Zr", "Th", "Zr", "Th"], "fractional_positions": [[0.250, 0.948, 0.897], [0.750, 0.847, 0.693], [0.250, 0.153, 0.307], [0.250, 0.552, 0.104], [0.750, 0.448, 0.896], [0.250, 0.304, 0.609], [0.750, 0.052, 0.103], [0.750, 0.696, 0.391]], "e_above_lowest_polymorph_mev_per_atom": 0.0, "e_tot_ev_per_atom": -7.50, "total_magnetization_mub_per_cell": 0.0, "e_form_ev_per_atom": -0.3721}



{"formula": "Rb3Te3Au2", "functional": "PBE-GGA", "state": "optimized geometry", "lattice": [[-3.335, -2.695, -2.400], [3.185, -3.924, 5.011], [-11.863, 4.693, 11.215]], "species": ["Rb", "Rb", "Rb", "Rb", "Rb", "Te", "Au", "Au", "Te", "Au", "Te", "Te", "Au", "Te", "Rb", "Te"], "fractional_positions": [[0.077, 0.154, 0.892], [0.376, 0.751, 0.750], [0.923, 0.846, 0.392], [0.077, 0.154, 0.608], [0.624, 0.249, 0.250], [0.644, 0.288, 0.458], [0.781, 0.561, 0.901], [0.781, 0.561, 0.599], [0.681, 0.362, 0.750], [0.219, 0.439, 0.099], [0.319, 0.638, 0.250], [0.644, 0.288, 0.042], [0.219, 0.439, 0.401], [0.356, 0.712, 0.542], [0.923, 0.846, 0.108], [0.356, 0.712, 0.958]], "e_form_raw_mev_per_atom": -615, "e_tot_ev_per_atom": -2.98, "total_magnetization_mub_per_cell": 0.0}



{"formula": "Sr2Sb4Ir3Au", "functional": "PBE-GGA", "state": "optimized geometry", "lattice": [[4.711, 0.000, 0.000], [0.000, 4.711, 0.000], [0.000, 0.000, 10.546]], "species": ["Ir", "Sb", "Sr", "Sb", "Au", "Sb", "Ir", "Sb", "Sr", "Ir"], "fractional_positions": [[0.500, 0.000, 0.883], [0.500, 0.500, 0.000], [0.500, 0.000, 0.252], [0.500, 0.000, 0.635], [0.500, 0.500, 0.500], [0.000, 0.000, 0.000], [0.000, 0.500, 0.117], [0.000, 0.500, 0.365], [0.000, 0.500, 0.748], [0.000, 0.000, 0.500]], "e_form_raw_mev_per_atom": -493, "e_tot_ev_per_atom": -5.46, "total_magnetization_mub_per_cell": 0.0}